Compound: Na3VO4
Source: the Alexandria database
Functional: PBE with a Hubbard U
Structure: optimized geometry

Cell and atoms, written as POSCAR:
```
Na3VO4
1.0
-1.6395 4.9458 -2.9839
-5.1769 -1.2814 -2.7586
1.5957 -0.6985 5.7461
O V Na
4 1 3
direct
0.0957 0.6956 0.0000 O
0.9043 0.9043 0.5999 O
0.6956 0.0957 0.0000 O
0.3044 0.3044 0.4001 O
0.0000 0.0000 0.0000 V
0.2500 0.7500 0.5000 Na
0.7500 0.2500 0.5000 Na
0.5000 0.5000 0.0000 Na
```

Results
**SG**: I-42m, No. 121
**E**: -5.83 eV/atom
**ρ**: 2.5 Mg/m³